# 1
DFT (GGA-PBEsol) results for a relaxed LiAl2Tl crystal.

```
data_LiAl2Tl
_chemical_formula_sum 'Li1 Al2 Tl1'
_cell_length_a 3.041
_cell_length_b 3.041
_cell_length_c 8.405
_cell_angle_alpha 90.00
_cell_angle_beta 90.00
_cell_angle_gamma 90.00
_symmetry_space_group_name_H-M 'P 4/m m m'
_symmetry_Int_Tables_number 123
_symmetry_space_group_name_Hall '-P 4 2'
loop_
_atom_site_label
_atom_site_type_symbol
_atom_site_fract_x
_atom_site_fract_y
_atom_site_fract_z
Li1 Li 0.000 0.000 0.000
Al1 Al 0.500 0.500 0.214
Tl1 Tl 0.000 0.000 0.500
```

Calculated values
The calculation puts the energy above the most stable polymorph in this dataset at 113 meV/atom. The volume comes out at 77.7 Å³/f.u. The calculation puts the electronic total energy at -3.0712 eV/atom. The formation energy is 48 kJ/mol of formula units.

---

# 2
DFT (GGA-PBEsol) results for a relaxed LiAl2Tl crystal.

```
data_LiAl2Tl
_chemical_formula_sum 'Li2 Al4 Tl2'
_cell_length_a 4.065
_cell_length_b 4.065
_cell_length_c 9.111
_cell_angle_alpha 90.00
_cell_angle_beta 90.00
_cell_angle_gamma 90.00
_symmetry_space_group_name_H-M 'I 4/m m m'
_symmetry_Int_Tables_number 139
_symmetry_space_group_name_Hall '-I 4 2'
loop_
_atom_site_label
_atom_site_type_symbol
_atom_site_fract_x
_atom_site_fract_y
_atom_site_fract_z
Li1 Li 0.000 0.000 0.000
Al1 Al 0.000 0.500 0.250
Tl1 Tl 0.000 0.000 0.500
```

Calculated values
The calculation puts the energy above the most stable polymorph in this dataset at 0 meV/atom. The volume comes out at 75.3 Å³/f.u. The calculation puts the electronic total energy at -3.1837 eV/atom. The formation energy is 4 kJ/mol of formula units.

---

# 3
DFT (GGA-PBEsol) results for a relaxed LiAl3Tl crystal.

```
data_LiAl3Tl
_chemical_formula_sum 'Li1 Al3 Tl1'
_cell_length_a 4.686
_cell_length_b 4.686
_cell_length_c 4.686
_cell_angle_alpha 90.00
_cell_angle_beta 90.00
_cell_angle_gamma 90.00
_symmetry_space_group_name_H-M 'P m -3 m'
_symmetry_Int_Tables_number 221
_symmetry_space_group_name_Hall '-P 4 2 3'
loop_
_atom_site_label
_atom_site_type_symbol
_atom_site_fract_x
_atom_site_fract_y
_atom_site_fract_z
Li1 Li 0.000 0.000 0.000
Al1 Al 0.000 0.000 0.500
Tl1 Tl 0.500 0.500 0.500
```

Calculated values
The volume comes out at 102.9 Å³/f.u. The calculation puts the electronic total energy at -2.9068 eV/atom. The formation energy is 226 kJ/mol of formula units.